(1)
This record from the Alexandria database describes a geometry-optimized CsTb2CuSe4 structure. The functional is PBE-GGA.

## Properties
V ... 27.97 A^3/atom
Space-group type ... Cmcm (63)
E ... -5.018 eV/atom
Formation energy without anion corrections ... -1.499 eV per atom

Structure (CIF):
```
data_CsTb2CuSe4
_chemical_formula_sum 'Cs2 Tb4 Cu2 Se8'
_space_group_name_H-M_alt 'P 1'
_space_group_IT_number 1
_cell_length_a 7.647
_cell_length_b 7.647
_cell_length_c 14.542
_cell_angle_alpha 90.00
_cell_angle_beta 90.00
_cell_angle_gamma 148.26
loop_
_space_group_symop_operation_xyz
'x,y,z'
loop_
_atom_site_label
_atom_site_type_symbol
_atom_site_fract_x
_atom_site_fract_y
_atom_site_fract_z
_atom_site_occupancy
Cs1 Cs 0.108 0.892 0.750 1
Cs2 Cs 0.892 0.108 0.250 1
Tb1 Tb 0.366 0.634 0.563 1
Tb2 Tb 0.366 0.634 0.937 1
Tb3 Tb 0.634 0.366 0.063 1
Tb4 Tb 0.634 0.366 0.437 1
Cu1 Cu 0.166 0.834 0.250 1
Cu2 Cu 0.834 0.166 0.750 1
Se1 Se 0.000 0.000 0.000 1
Se2 Se 0.000 0.000 0.500 1
Se3 Se 0.258 0.742 0.107 1
Se4 Se 0.258 0.742 0.393 1
Se5 Se 0.423 0.577 0.750 1
Se6 Se 0.577 0.423 0.250 1
Se7 Se 0.742 0.258 0.607 1
Se8 Se 0.742 0.258 0.893 1
```

---

(2)
This record from the Alexandria database describes a geometry-optimized Cs2TbCu2Se4 structure. The functional is PBE-GGA.

## Properties
V ... 28.59 A^3/atom
Space-group type ... C2/m (12)
E ... -4.222 eV/atom
Formation energy without anion corrections ... -1.059 eV per atom

Structure (CIF):
```
data_Cs2TbCu2Se4
_chemical_formula_sum 'Cs2 Tb1 Cu2 Se4'
_space_group_name_H-M_alt 'P 1'
_space_group_IT_number 1
_cell_length_a 7.962
_cell_length_b 7.962
_cell_length_c 8.500
_cell_angle_alpha 106.98
_cell_angle_beta 106.98
_cell_angle_gamma 30.06
loop_
_space_group_symop_operation_xyz
'x,y,z'
loop_
_atom_site_label
_atom_site_type_symbol
_atom_site_fract_x
_atom_site_fract_y
_atom_site_fract_z
_atom_site_occupancy
Cs1 Cs 0.135 0.135 0.057 1
Cs2 Cs 0.865 0.865 0.943 1
Tb1 Tb 0.000 0.000 0.500 1
Cu1 Cu 0.321 0.321 0.516 1
Cu2 Cu 0.679 0.679 0.484 1
Se1 Se 0.198 0.198 0.654 1
Se2 Se 0.477 0.477 0.720 1
Se3 Se 0.523 0.523 0.280 1
Se4 Se 0.802 0.802 0.346 1
```

---

(3)
This record from the Alexandria database describes a geometry-optimized CsCu4Te2Se structure. The functional is PBE-GGA.

## Properties
V ... 27.99 A^3/atom
Space-group type ... Fmm2 (42)
E ... -3.598 eV/atom
Formation energy without anion corrections ... -0.223 eV per atom

Structure (CIF):
```
data_CsCu4Te2Se
_chemical_formula_sum 'Cs1 Cu4 Te2 Se1'
_space_group_name_H-M_alt 'P 1'
_space_group_IT_number 1
_cell_length_a 7.795
_cell_length_b 7.522
_cell_length_c 5.932
_cell_angle_alpha 69.67
_cell_angle_beta 64.80
_cell_angle_gamma 45.53
loop_
_space_group_symop_operation_xyz
'x,y,z'
loop_
_atom_site_label
_atom_site_type_symbol
_atom_site_fract_x
_atom_site_fract_y
_atom_site_fract_z
_atom_site_occupancy
Cs1 Cs 0.000 0.000 0.000 1
Cu1 Cu 0.155 0.488 0.845 1
Cu2 Cu 0.473 0.784 0.216 1
Cu3 Cu 0.488 0.155 0.512 1
Cu4 Cu 0.784 0.473 0.527 1
Te1 Te 0.237 0.237 0.263 1
Te2 Te 0.737 0.737 0.763 1
Se1 Se 0.481 0.481 0.519 1
```

---

(4)
This record from the Alexandria database describes a geometry-optimized CsCu4TeSe2 structure. The functional is PBE-GGA.

## Properties
V ... 22.49 A^3/atom
Space-group type ... P4/mmm (123)
E ... -3.774 eV/atom
Formation energy without anion corrections ... -0.356 eV per atom

Structure (CIF):
```
data_CsCu4TeSe2
_chemical_formula_sum 'Cs1 Cu4 Te1 Se2'
_space_group_name_H-M_alt 'P 1'
_space_group_IT_number 1
_cell_length_a 4.065
_cell_length_b 4.065
_cell_length_c 10.886
_cell_angle_alpha 90.00
_cell_angle_beta 90.00
_cell_angle_gamma 90.00
loop_
_space_group_symop_operation_xyz
'x,y,z'
loop_
_atom_site_label
_atom_site_type_symbol
_atom_site_fract_x
_atom_site_fract_y
_atom_site_fract_z
_atom_site_occupancy
Cs1 Cs 0.000 0.000 0.000 1
Cu1 Cu 0.000 0.500 0.333 1
Cu2 Cu 0.000 0.500 0.667 1
Cu3 Cu 0.500 0.000 0.333 1
Cu4 Cu 0.500 0.000 0.667 1
Te1 Te 0.000 0.000 0.500 1
Se1 Se 0.500 0.500 0.210 1
Se2 Se 0.500 0.500 0.790 1
```

---

(5)
This record from the Alexandria database describes a geometry-optimized CsCuTeSe structure. The functional is PBE-GGA.

## Properties
V ... 31.57 A^3/atom
Space-group type ... P4/nmm (129)
E ... -3.445 eV/atom
Formation energy without anion corrections ... -0.551 eV per atom

Structure (CIF):
```
data_CsCuTeSe
_chemical_formula_sum 'Cs2 Cu2 Te2 Se2'
_space_group_name_H-M_alt 'P 1'
_space_group_IT_number 1
_cell_length_a 4.354
_cell_length_b 4.354
_cell_length_c 13.322
_cell_angle_alpha 90.00
_cell_angle_beta 90.00
_cell_angle_gamma 90.00
loop_
_space_group_symop_operation_xyz
'x,y,z'
loop_
_atom_site_label
_atom_site_type_symbol
_atom_site_fract_x
_atom_site_fract_y
_atom_site_fract_z
_atom_site_occupancy
Cs1 Cs 0.250 0.250 0.245 1
Cs2 Cs 0.750 0.750 0.755 1
Cu1 Cu 0.250 0.750 0.000 1
Cu2 Cu 0.750 0.250 0.000 1
Te1 Te 0.250 0.750 0.500 1
Te2 Te 0.750 0.250 0.500 1
Se1 Se 0.250 0.250 0.904 1
Se2 Se 0.750 0.750 0.096 1
```

---

(6)
This record from the Alexandria database describes a geometry-optimized Cs2CuTeSe2 structure. The functional is PBE-GGA.

## Properties
V ... 35.51 A^3/atom
Space-group type ... Ibam (72)
E ... -3.171 eV/atom
Formation energy without anion corrections ... -0.518 eV per atom

Structure (CIF):
```
data_Cs2CuTeSe2
_chemical_formula_sum 'Cs4 Cu2 Te2 Se4'
_space_group_name_H-M_alt 'P 1'
_space_group_IT_number 1
_cell_length_a 9.167
_cell_length_b 9.167
_cell_length_c 9.167
_cell_angle_alpha 122.24
_cell_angle_beta 73.95
_cell_angle_gamma 137.99
loop_
_space_group_symop_operation_xyz
'x,y,z'
loop_
_atom_site_label
_atom_site_type_symbol
_atom_site_fract_x
_atom_site_fract_y
_atom_site_fract_z
_atom_site_occupancy
Cs1 Cs 0.171 0.227 0.398 1
Cs2 Cs 0.329 0.727 0.056 1
Cs3 Cs 0.671 0.273 0.944 1
Cs4 Cs 0.829 0.773 0.602 1
Cu1 Cu 0.250 0.250 0.000 1
Cu2 Cu 0.750 0.750 0.000 1
Te1 Te 0.250 0.750 0.500 1
Te2 Te 0.750 0.250 0.500 1
Se1 Se 0.069 0.830 0.898 1
Se2 Se 0.431 0.330 0.761 1
Se3 Se 0.569 0.670 0.239 1
Se4 Se 0.931 0.170 0.102 1
```

---

(7)
This record from the Alexandria database describes a geometry-optimized CsCu6Te2Se2 structure. The functional is PBE-GGA.

## Properties
V ... 27.69 A^3/atom
Space-group type ... P-1 (2)
E ... -3.749 eV/atom
Formation energy without anion corrections ... -0.233 eV per atom

Structure (CIF):
```
data_CsCu6Te2Se2
_chemical_formula_sum 'Cs1 Cu6 Te2 Se2'
_space_group_name_H-M_alt 'P 1'
_space_group_IT_number 1
_cell_length_a 5.132
_cell_length_b 8.012
_cell_length_c 8.254
_cell_angle_alpha 108.97
_cell_angle_beta 106.62
_cell_angle_gamma 91.87
loop_
_space_group_symop_operation_xyz
'x,y,z'
loop_
_atom_site_label
_atom_site_type_symbol
_atom_site_fract_x
_atom_site_fract_y
_atom_site_fract_z
_atom_site_occupancy
Cs1 Cs 0.000 0.000 0.000 1
Cu1 Cu 0.046 0.373 0.567 1
Cu2 Cu 0.351 0.885 0.519 1
Cu3 Cu 0.445 0.582 0.396 1
Cu4 Cu 0.555 0.418 0.604 1
Cu5 Cu 0.649 0.115 0.481 1
Cu6 Cu 0.954 0.627 0.433 1
Te1 Te 0.379 0.203 0.732 1
Te2 Te 0.621 0.797 0.268 1
Se1 Se 0.345 0.684 0.694 1
Se2 Se 0.655 0.316 0.306 1
```

---

(8)
This record from the Alexandria database describes a geometry-optimized Cs2Cu2TeSe2 structure. The functional is PBE-GGA.

## Properties
V ... 32.95 A^3/atom
Space-group type ... C2/m (12)
E ... -3.358 eV/atom
Formation energy without anion corrections ... -0.500 eV per atom

Structure (CIF):
```
data_Cs2Cu2TeSe2
_chemical_formula_sum 'Cs2 Cu2 Te1 Se2'
_space_group_name_H-M_alt 'P 1'
_space_group_IT_number 1
_cell_length_a 7.120
_cell_length_b 7.120
_cell_length_c 8.366
_cell_angle_alpha 98.90
_cell_angle_beta 98.90
_cell_angle_gamma 33.44
loop_
_space_group_symop_operation_xyz
'x,y,z'
loop_
_atom_site_label
_atom_site_type_symbol
_atom_site_fract_x
_atom_site_fract_y
_atom_site_fract_z
_atom_site_occupancy
Cs1 Cs 0.118 0.118 0.339 1
Cs2 Cs 0.882 0.882 0.661 1
Cu1 Cu 0.313 0.313 0.049 1
Cu2 Cu 0.687 0.687 0.951 1
Te1 Te 0.500 0.500 0.000 1
Se1 Se 0.186 0.186 0.793 1
Se2 Se 0.814 0.814 0.207 1
```

---

(9)
This record from the Alexandria database describes a geometry-optimized CsCuTeSe2 structure. The functional is PBE-GGA.

## Properties
V ... 42.45 A^3/atom
Space-group type ... Cmme (67)
E ... -3.356 eV/atom
Formation energy without anion corrections ... -0.344 eV per atom

Structure (CIF):
```
data_CsCuTeSe2
_chemical_formula_sum 'Cs2 Cu2 Te2 Se4'
_space_group_name_H-M_alt 'P 1'
_space_group_IT_number 1
_cell_length_a 7.632
_cell_length_b 7.632
_cell_length_c 7.713
_cell_angle_alpha 90.00
_cell_angle_beta 90.00
_cell_angle_gamma 109.09
loop_
_space_group_symop_operation_xyz
'x,y,z'
loop_
_atom_site_label
_atom_site_type_symbol
_atom_site_fract_x
_atom_site_fract_y
_atom_site_fract_z
_atom_site_occupancy
Cs1 Cs 0.250 0.750 0.828 1
Cs2 Cs 0.750 0.250 0.172 1
Cu1 Cu 0.000 0.000 0.500 1
Cu2 Cu 0.500 0.500 0.500 1
Te1 Te 0.250 0.250 0.000 1
Te2 Te 0.750 0.750 0.000 1
Se1 Se 0.056 0.944 0.223 1
Se2 Se 0.444 0.556 0.223 1
Se3 Se 0.556 0.444 0.777 1
Se4 Se 0.944 0.056 0.777 1
```

---

(10)
This record from the Alexandria database describes a geometry-optimized CsThCu2Se4 structure. The functional is PBE-GGA.

## Properties
V ... 34.50 A^3/atom
Space-group type ... I222 (23)
E ... -4.548 eV/atom
Formation energy without anion corrections ... -0.747 eV per atom

Structure (CIF):
```
data_CsThCu2Se4
_chemical_formula_sum 'Cs1 Th1 Cu2 Se4'
_space_group_name_H-M_alt 'P 1'
_space_group_IT_number 1
_cell_length_a 7.253
_cell_length_b 7.253
_cell_length_c 7.253
_cell_angle_alpha 125.34
_cell_angle_beta 104.82
_cell_angle_gamma 99.54
loop_
_space_group_symop_operation_xyz
'x,y,z'
loop_
_atom_site_label
_atom_site_type_symbol
_atom_site_fract_x
_atom_site_fract_y
_atom_site_fract_z
_atom_site_occupancy
Cs1 Cs 0.000 0.000 0.000 1
Th1 Th 0.500 0.500 0.000 1
Cu1 Cu 0.369 0.869 0.500 1
Cu2 Cu 0.631 0.131 0.500 1
Se1 Se 0.152 0.074 0.571 1
Se2 Se 0.497 0.926 0.078 1
Se3 Se 0.503 0.581 0.429 1
Se4 Se 0.848 0.419 0.922 1
```

---

Which formula does entry 9 have? CsCuTeSe2